Entry 1:
Entry from Alexandria: crystalline CeTiV at its relaxed geometry (PBE-GGA).

The space group is P-1 (No. 2) and the conventional cell measures 2.980, 4.674 and 8.030 Å, with angles of 90.07, 99.53 and 90.01 degrees. The distinct sites, in fractional coordinates, are Ce at (0.179, 0.250, 0.391), Ti at (0.427, 0.251, 0.801) and V at (0.090, 0.751, 0.919).

The value obtained for the total magnetization is 0.00 μB/atom. Its volume is 18.384 Å³/atom. As for the electronic total energy: -45.003 eV/cell.

***

Entry 2:
Entry from Alexandria: crystalline CeTi2W at its relaxed geometry (PBE-GGA).

The space group is P4/mmm (No. 123) and the conventional cell measures 3.193, 3.193 and 7.680 Å, with angles of 90.00, 90.00 and 90.00 degrees. The distinct sites, in fractional coordinates, are Ce at (0.000, 0.000, 0.000), Ti at (0.500, 0.500, 0.305) and W at (0.000, 0.000, 0.500).

The value obtained for the total magnetization is 0.09 μB/atom. Its volume is 19.575 Å³/atom. As for the electronic total energy: -34.250 eV/cell.

***

Entry 3:
Entry from Alexandria: crystalline CeTiW at its relaxed geometry (PBE-GGA).

The space group is P-1 (No. 2) and the conventional cell measures 2.967, 5.705 and 7.198 Å, with angles of 78.12, 78.38 and 76.72 degrees. The distinct sites, in fractional coordinates, are Ce at (0.080, 0.074, 0.171), Ti at (0.269, 0.280, 0.506) and W at (0.407, 0.446, 0.827).

The value obtained for the total magnetization is 0.00 μB/atom. Its volume is 19.087 Å³/atom. As for the electronic total energy: -52.084 eV/cell.

***

Entry 4:
Entry from Alexandria: crystalline CeY2Ti at its relaxed geometry (PBE-GGA).

The space group is R-3m (No. 166, hexagonal axes) and the conventional cell measures 3.3257, 3.3257 and 35.0152 Å, with angles of 90.00, 90.00 and 120.00 degrees. The distinct sites, in fractional coordinates, are Ce at (0.0000, 0.0000, 0.0000), Y at (0.0000, 0.0000, 0.4158) and Ti at (0.0000, 0.0000, 0.5000).

The value obtained for the total magnetization is 0.38 μB/atom. Its volume is 27.949 Å³/atom. As for the electronic total energy: -75.048 eV/cell.

***

Entry 5:
Entry from Alexandria: crystalline Ce2YTi at its relaxed geometry (PBE-GGA).

The space group is R-3m (No. 166, hexagonal axes) and the conventional cell measures 3.3233, 3.3233 and 32.5824 Å, with angles of 90.00, 90.00 and 120.00 degrees. The distinct sites, in fractional coordinates, are Ce at (0.0000, 0.0000, 0.2427), Y at (0.0000, 0.0000, 0.0000) and Ti at (0.0000, 0.0000, 0.5000).

The value obtained for the total magnetization is 0.00 μB/atom. Its volume is 25.970 Å³/atom. Its excess energy over the best structure of this formula in the dataset is 0.0333 eV per atom.

***

Entry 6:
Entry from Alexandria: crystalline Ce2YTi at its relaxed geometry (PBE-GGA).

The space group is P4/mmm (No. 123) and the conventional cell measures 3.253, 3.253 and 9.877 Å, with angles of 90.00, 90.00 and 90.00 degrees. The distinct sites, in fractional coordinates, are Ce at (0.000, 0.000, 0.223), Y at (0.500, 0.500, 0.500) and Ti at (0.500, 0.500, 0.000).

The value obtained for the total magnetization is 0.13 μB/atom. Its volume is 26.128 Å³/atom. Its excess energy over the best structure of this formula in the dataset is 0.0000 eV per atom.

***

Entry 7:
Entry from Alexandria: crystalline CeTiZn4 at its relaxed geometry (PBE-GGA).

The space group is F-43m (No. 216) and the conventional cell measures 7.508, 7.508 and 7.508 Å, with angles of 90.00, 90.00 and 90.00 degrees. The distinct sites, in fractional coordinates, are Ce at (0.000, 0.000, 0.000), Ti at (0.250, 0.250, 0.750) and Zn at (0.124, 0.124, 0.376).

The value obtained for the total magnetization is 0.37 μB/atom. Its volume is 17.638 Å³/atom. As for the electronic total energy: -80.302 eV/cell.

***

Entry 8:
Entry from Alexandria: crystalline CeTi2Zn at its relaxed geometry (PBE-GGA).

The space group is P4/mmm (No. 123) and the conventional cell measures 4.349, 4.349 and 3.980 Å, with angles of 90.00, 90.00 and 90.00 degrees. The distinct sites, in fractional coordinates, are Ce at (0.000, 0.000, 0.000), Ti at (0.000, 0.500, 0.500) and Zn at (0.500, 0.500, 0.000).

The value obtained for the total magnetization is 0.00 μB/atom. Its volume is 18.814 Å³/atom. Its excess energy over the best structure of this formula in the dataset is 0.0319 eV per atom.

***

Entry 9:
Entry from Alexandria: crystalline Ce2TiZn at its relaxed geometry (PBE-GGA).

The space group is P4/mmm (No. 123) and the conventional cell measures 5.263, 5.263 and 3.348 Å, with angles of 90.00, 90.00 and 90.00 degrees. The distinct sites, in fractional coordinates, are Ce at (0.000, 0.500, 0.000), Ti at (0.000, 0.000, 0.500) and Zn at (0.500, 0.500, 0.500).

The value obtained for the total magnetization is 0.33 μB/atom. Its volume is 23.189 Å³/atom. Its excess energy over the best structure of this formula in the dataset is 0.0429 eV per atom.

***

Entry 10:
Entry from Alexandria: crystalline CeTi4Zn5 at its relaxed geometry (PBE-GGA).

The space group is P4/mmm (No. 123) and the conventional cell measures 3.119, 3.119 and 17.280 Å, with angles of 90.00, 90.00 and 90.00 degrees. The distinct sites, in fractional coordinates, are Ce at (0.000, 0.000, 0.000), Ti at (0.000, 0.000, 0.223), Ti at (0.000, 0.000, 0.408), Zn at (0.500, 0.500, 0.130), Zn at (0.500, 0.500, 0.316) and Zn at (0.500, 0.500, 0.500).

The value obtained for the total magnetization is 0.03 μB/atom. Its volume is 16.808 Å³/atom. As for the electronic total energy: -45.588 eV/cell.

***

Entry 11:
Entry from Alexandria: crystalline CeTi2Zn at its relaxed geometry (PBE-GGA).

The space group is Fm-3m (No. 225) and the conventional cell measures 6.611, 6.611 and 6.611 Å, with angles of 90.00, 90.00 and 90.00 degrees. The distinct sites, in fractional coordinates, are Ce at (0.000, 0.000, 0.000), Ti at (0.250, 0.250, 0.250) and Zn at (0.000, 0.000, 0.500).

The value obtained for the total magnetization is 0.43 μB/atom. Its volume is 18.059 Å³/atom. Its excess energy over the best structure of this formula in the dataset is 0.0875 eV per atom.

***

Entry 12:
Entry from Alexandria: crystalline Ce2TiZn at its relaxed geometry (PBE-GGA).

The space group is Fm-3m (No. 225) and the conventional cell measures 7.243, 7.243 and 7.243 Å, with angles of 90.00, 90.00 and 90.00 degrees. The distinct sites, in fractional coordinates, are Ce at (0.250, 0.250, 0.250), Ti at (0.000, 0.000, 0.000) and Zn at (0.000, 0.000, 0.500).

The value obtained for the total magnetization is 0.79 μB/atom. Its volume is 23.745 Å³/atom. Its excess energy over the best structure of this formula in the dataset is 0.0698 eV per atom.